1.
## La3Nd2Cu2 (PBE)

Data for an optimized crystal structure of La3Nd2Cu2.

The value obtained for the formation energy is -0.081 eV/atom. The calculated total energy comes out at -33.08 eV per formula unit. The calculation puts the theoretical density at 6.66 Mg/m³.

It has space group C2/m (No. 12), with a = 12.583 Å, b = 3.868 Å, c = 9.389 Å, α = 90.00°, β = 114.83° and γ = 90.00°. Symmetry generates all atoms from La at (0.000, 0.000, 0.000), La at (0.113, 0.000, 0.439), Nd at (0.161, 0.500, 0.815) and Cu at (0.165, 0.500, 0.224).

2.
## Tb4Nd3Tm5 (PBE)

Data for an optimized crystal structure of Tb4Nd3Tm5.

The value obtained for the formation energy is 0.237 eV/atom. The calculated total energy comes out at -52.34 eV per formula unit. The calculation puts the energy above the most stable polymorph in this dataset at 217 meV per atom. The calculation puts the theoretical density at 8.11 Mg/m³.

It has space group C2/m (No. 12), with a = 15.927 Å, b = 5.909 Å, c = 9.277 Å, α = 90.00°, β = 116.23° and γ = 90.00°. Symmetry generates all atoms from Tb at (0.083, 0.000, 0.443), Tb at (0.209, 0.000, 0.879), Nd at (0.000, 0.500, 0.000), Nd at (0.210, 0.000, 0.234), Tm at (0.000, 0.000, 0.000), Tm at (0.072, 0.500, 0.696) and Tm at (0.172, 0.500, 0.387).

3.
## V2CoB2 (PBE)

Data for an optimized crystal structure of V2CoB2.

The value obtained for the formation energy is -0.638 eV/atom. The calculated total energy comes out at -41.89 eV per formula unit. The calculation puts the energy above the most stable polymorph in this dataset at 0 meV per atom. The calculation puts the theoretical density at 6.48 Mg/m³.

It has space group Immm (No. 71), with a = 3.078 Å, b = 4.440 Å, c = 6.838 Å, α = 90.00°, β = 90.00° and γ = 90.00°. Symmetry generates all atoms from V at (0.000, 0.000, 0.206), Co at (0.000, 0.500, 0.000) and B at (0.000, 0.302, 0.500).

4.
## Te2Pd4I3 (PBE)

Data for an optimized crystal structure of Te2Pd4I3.

The raw formation energy is -0.17 eV per atom. The calculated total energy comes out at -33.19 eV per formula unit. The calculation puts the theoretical density at 7.01 Mg/m³.

It has space group C2/m (No. 12), with a = 13.710 Å, b = 3.813 Å, c = 10.992 Å, α = 90.00°, β = 118.96° and γ = 90.00°. Symmetry generates all atoms from Te at (0.205, 0.000, 0.290), Pd at (0.059, 0.500, 0.264), Pd at (0.170, 0.000, 0.509), I at (0.000, 0.500, 0.500) and I at (0.098, 0.000, 0.884).

5.
## MnBiRh (PBE)

Data for an optimized crystal structure of MnBiRh.

The value obtained for the formation energy is -0.010 eV/atom. The calculated total energy comes out at -20.43 eV per formula unit. The calculation puts the theoretical density at 10.07 Mg/m³.

It has space group Pnma (No. 62), with a = 8.929 Å, b = 4.334 Å, c = 6.254 Å, α = 90.00°, β = 90.00° and γ = 90.00°. Symmetry generates all atoms from Mn at (0.147, 0.250, 0.226), Bi at (0.112, 0.250, 0.696) and Rh at (0.111, 0.750, 0.977).

6.
## ErSbP2 (PBE)

Data for an optimized crystal structure of ErSbP2.

The raw formation energy is -0.61 eV per atom. The calculated total energy comes out at -21.95 eV per formula unit. The calculation puts the theoretical density at 6.43 Mg/m³.

It has space group R-3m (No. 166, hexagonal axes), with a = 3.9726 Å, b = 3.9726 Å, c = 19.8992 Å, α = 90.00°, β = 90.00° and γ = 120.00°. Symmetry generates all atoms from Er at (0.0000, 0.0000, 0.0000), Sb at (0.0000, 0.0000, 0.5000) and P at (0.0000, 0.0000, 0.2508).

7.
## PHS3 (PBE)

Data for an optimized crystal structure of PHS3.

The calculated total energy comes out at -15.96 eV per formula unit. The calculation puts the energy above the most stable polymorph in this dataset at 1026 meV per atom. The calculation puts the theoretical density at 2.34 Mg/m³.

It has space group Pm-3m (No. 221), with a = 4.499 Å, b = 4.499 Å, c = 4.499 Å, α = 90.00°, β = 90.00° and γ = 90.00°. Symmetry generates all atoms from P at (0.000, 0.000, 0.000), H at (0.500, 0.500, 0.500) and S at (0.000, 0.000, 0.500).

8.
## Sm2ZnNi12Rh3 (PBE)

Data for an optimized crystal structure of Sm2ZnNi12Rh3.

The value obtained for the formation energy is -0.031 eV/atom. The calculated total energy comes out at -102.70 eV per formula unit. The calculation puts the theoretical density at 9.21 Mg/m³.

It has space group R-3m (No. 166, hexagonal axes), with a = 8.3967 Å, b = 8.3967 Å, c = 12.2133 Å, α = 90.00°, β = 90.00° and γ = 120.00°. Symmetry generates all atoms from Sm at (0.0000, 0.0000, 0.2258), Zn at (0.0000, 0.0000, 0.5000), Ni at (0.0184, 0.5092, 0.2122), Ni at (0.0514, 0.5257, 0.6011) and Rh at (0.0000, 0.5000, 0.0000).

9.
## YZnSn (PBE)

Data for an optimized crystal structure of YZnSn.

The value obtained for the formation energy is -0.600 eV/atom. The calculated total energy comes out at -13.54 eV per formula unit. The calculation puts the theoretical density at 6.46 Mg/m³.

It has space group P6_3/mmc (No. 194), with a = 4.5082 Å, b = 4.5082 Å, c = 15.9459 Å, α = 90.00°, β = 90.00° and γ = 120.00°. Symmetry generates all atoms from Y at (0.0000, 0.0000, 0.0000), Y at (0.0000, 0.0000, 0.2500), Zn at (0.3333, 0.6667, 0.1605) and Sn at (0.3333, 0.6667, 0.6134).

10.
## Tb3Pm2Pb4 (PBE)

Data for an optimized crystal structure of Tb3Pm2Pb4.

The value obtained for the formation energy is -0.435 eV/atom. The calculated total energy comes out at -42.14 eV per formula unit. The calculation puts the energy above the most stable polymorph in this dataset at 23 meV per atom. The calculation puts the theoretical density at 9.38 Mg/m³.

It has space group Cmce (No. 64), with a = 7.174 Å, b = 17.333 Å, c = 9.086 Å, α = 90.00°, β = 90.00° and γ = 90.00°. Symmetry generates all atoms from Tb at (0.000, 0.000, 0.000), Tb at (0.250, 0.206, 0.250), Pm at (0.000, 0.112, 0.590), Pb at (0.000, 0.186, 0.944) and Pb at (0.250, 0.029, 0.250).

11.
## LiReO5 (PBE)

Data for an optimized crystal structure of LiReO5.

The raw formation energy is -1.04 eV per atom. The calculated total energy comes out at -46.43 eV per formula unit. The calculation puts the theoretical density at 4.73 Mg/m³.

It has space group Immm (No. 71), with a = 3.812 Å, b = 6.605 Å, c = 7.617 Å, α = 90.00°, β = 90.00° and γ = 90.00°. Symmetry generates all atoms from Li at (0.000, 0.000, 0.000), Re at (0.000, 0.000, 0.500), O at (0.000, 0.000, 0.257), O at (0.000, 0.283, 0.500) and O at (0.000, 0.500, 0.000).

12.
## HoScNiOs (PBE)

Data for an optimized crystal structure of HoScNiOs.

The value obtained for the formation energy is -0.384 eV/atom. The calculated total energy comes out at -29.46 eV per formula unit. The calculation puts the theoretical density at 10.70 Mg/m³.

It has space group F-43m (No. 216), with a = 6.579 Å, b = 6.579 Å, c = 6.579 Å, α = 90.00°, β = 90.00° and γ = 90.00°. Symmetry generates all atoms from Ho at (0.000, 0.000, 0.000), Sc at (0.000, 0.000, 0.500), Ni at (0.250, 0.250, 0.250) and Os at (0.250, 0.250, 0.750).

13.
## TbSc2Re (PBE)

Data for an optimized crystal structure of TbSc2Re.

The value obtained for the formation energy is 0.011 eV/atom. The calculated total energy comes out at -29.70 eV per formula unit. The calculation puts the theoretical density at 7.83 Mg/m³.

It has space group P4/mmm (No. 123), with a = 3.281 Å, b = 3.281 Å, c = 8.577 Å, α = 90.00°, β = 90.00° and γ = 90.00°. Symmetry generates all atoms from Tb at (0.000, 0.000, 0.000), Sc at (0.500, 0.500, 0.319) and Re at (0.000, 0.000, 0.500).

14.
## Re2PRh (PBE)

Data for an optimized crystal structure of Re2PRh.

The value obtained for the formation energy is -0.102 eV/atom. The calculated total energy comes out at -38.07 eV per formula unit. The calculation puts the theoretical density at 15.29 Mg/m³.

It has space group P4/mmm (No. 123), with a = 2.882 Å, b = 2.882 Å, c = 6.618 Å, α = 90.00°, β = 90.00° and γ = 90.00°. Symmetry generates all atoms from Re at (0.000, 0.000, 0.215), P at (0.500, 0.500, 0.000) and Rh at (0.500, 0.500, 0.500).

15.
## LaHgBrF2 (PBE)

Data for an optimized crystal structure of LaHgBrF2.

The raw formation energy is -1.28 eV per atom. The calculated total energy comes out at -17.03 eV per formula unit. The calculation puts the energy above the most stable polymorph in this dataset at 1321 meV per atom. The calculation puts the theoretical density at 5.86 Mg/m³.

It has space group P4/mmm (No. 123), with a = 4.567 Å, b = 4.567 Å, c = 6.213 Å, α = 90.00°, β = 90.00° and γ = 90.00°. Symmetry generates all atoms from La at (0.000, 0.000, 0.000), Hg at (0.000, 0.000, 0.500), Br at (0.500, 0.500, 0.000) and F at (0.000, 0.500, 0.500).

16.
## PaNi6As2 (PBE)

Data for an optimized crystal structure of PaNi6As2.

The value obtained for the formation energy is -0.287 eV/atom. The calculated total energy comes out at -56.07 eV per formula unit. The calculation puts the theoretical density at 9.71 Mg/m³.

It has space group P4/mmm (No. 123), with a = 3.721 Å, b = 3.721 Å, c = 9.053 Å, α = 90.00°, β = 90.00° and γ = 90.00°. Symmetry generates all atoms from Pa at (0.000, 0.000, 0.000), Ni at (0.000, 0.000, 0.500), Ni at (0.000, 0.500, 0.316), Ni at (0.500, 0.500, 0.500) and As at (0.500, 0.500, 0.158).

17.
## NdSm7Tm12 (PBE)

Data for an optimized crystal structure of NdSm7Tm12.

The value obtained for the formation energy is 0.301 eV/atom. The calculated total energy comes out at -85.44 eV per formula unit. The calculation puts the energy above the most stable polymorph in this dataset at 0 meV per atom. The calculation puts the theoretical density at 8.35 Mg/m³.

It has space group R-3 (No. 148, hexagonal axes), with a = 12.7984 Å, b = 12.7984 Å, c = 13.5624 Å, α = 90.00°, β = 90.00° and γ = 120.00°. Symmetry generates all atoms from Nd at (0.0000, 0.0000, 0.0000), Sm at (0.0000, 0.0000, 0.5000), Sm at (0.0683, 0.2023, 0.8470), Tm at (0.0038, 0.5675, 0.2486) and Tm at (0.0679, 0.8663, 0.3490).

18.
## BeSn2AsS (PBE)

Data for an optimized crystal structure of BeSn2AsS.

The raw formation energy is 0.86 eV per atom. The calculated total energy comes out at -16.23 eV per formula unit. The calculation puts the theoretical density at 4.32 Mg/m³.

It has space group P4/mmm (No. 123), with a = 5.323 Å, b = 5.323 Å, c = 4.793 Å, α = 90.00°, β = 90.00° and γ = 90.00°. Symmetry generates all atoms from Be at (0.000, 0.000, 0.000), Sn at (0.000, 0.500, 0.500), As at (0.500, 0.500, 0.000) and S at (0.500, 0.500, 0.500).

19.
## YZrPt (PBE)

Data for an optimized crystal structure of YZrPt.

The value obtained for the formation energy is -0.573 eV/atom. The calculated total energy comes out at -22.77 eV per formula unit. The calculation puts the energy above the most stable polymorph in this dataset at 271 meV per atom. The calculation puts the theoretical density at 8.60 Mg/m³.

It has space group P3m1 (No. 156), with a = 4.5387 Å, b = 4.5387 Å, c = 4.0624 Å, α = 90.00°, β = 90.00° and γ = 120.00°. Symmetry generates all atoms from Y at (0.0000, 0.0000, 0.0000), Zr at (0.6667, 0.3333, 0.4823) and Pt at (0.3333, 0.6667, 0.5806).

20.
## ReMoSe2 (PBE)

Data for an optimized crystal structure of ReMoSe2.

The raw formation energy is 0.88 eV per atom. The calculated total energy comes out at -26.72 eV per formula unit. The calculation puts the energy above the most stable polymorph in this dataset at 958 meV per atom. The calculation puts the theoretical density at 10.90 Mg/m³.

It has space group F-43m (No. 216), with a = 6.449 Å, b = 6.449 Å, c = 6.449 Å, α = 90.00°, β = 90.00° and γ = 90.00°. Symmetry generates all atoms from Re at (0.000, 0.000, 0.000), Mo at (0.250, 0.250, 0.750), Se at (0.000, 0.000, 0.500) and Se at (0.250, 0.250, 0.250).

21.
## Ag2AsIr (PBE)

Data for an optimized crystal structure of Ag2AsIr.

The value obtained for the formation energy is 0.393 eV/atom. The calculated total energy comes out at -17.64 eV per formula unit. The calculation puts the theoretical density at 11.74 Mg/m³.

It has space group R-3m (No. 166, hexagonal axes), with a = 2.9044 Å, b = 2.9044 Å, c = 28.0393 Å, α = 90.00°, β = 90.00° and γ = 120.00°. Symmetry generates all atoms from Ag at (0.0000, 0.0000, 0.2494), As at (0.0000, 0.0000, 0.0000) and Ir at (0.0000, 0.0000, 0.5000).

22.
## KMgInCl4 (PBE)

Data for an optimized crystal structure of KMgInCl4.

The raw formation energy is -1.57 eV per atom. The calculated total energy comes out at -23.80 eV per formula unit. The calculation puts the theoretical density at 2.32 Mg/m³.

It has space group P2_1/m (No. 11), with a = 7.566 Å, b = 7.310 Å, c = 8.699 Å, α = 90.00°, β = 107.47° and γ = 90.00°. Symmetry generates all atoms from K at (0.215, 0.250, 0.072), Mg at (0.250, 0.750, 0.808), In at (0.267, 0.250, 0.587), Cl at (0.043, 0.501, 0.761), Cl at (0.428, 0.750, 0.631) and Cl at (0.439, 0.750, 0.078).

23.
## Sc5Bi3N (PBE)

Data for an optimized crystal structure of Sc5Bi3N.

The raw formation energy is -0.87 eV per atom. The calculated total energy comes out at -59.42 eV per formula unit. The calculation puts the theoretical density at 7.37 Mg/m³.

It has space group P6_3/mcm (No. 193), with a = 8.6759 Å, b = 8.6759 Å, c = 5.9875 Å, α = 90.00°, β = 90.00° and γ = 120.00°. Symmetry generates all atoms from Sc at (0.0000, 0.2015, 0.2500), Sc at (0.3333, 0.6667, 0.0000), Bi at (0.0000, 0.3982, 0.7500) and N at (0.0000, 0.0000, 0.0000).